No. 1
Material: SrTc2As
Method: DFT, meta-GGA SCAN
State: single point on PBEsol structure

Structure (CIF):
```
data_SrTc2As
_cell_length_a 3.3046
_cell_length_b 5.0400
_cell_length_c 8.6397
_cell_angle_alpha 90.00
_cell_angle_beta 90.00
_cell_angle_gamma 90.00
_symmetry_space_group_name_H-M 'C m m m'
_symmetry_Int_Tables_number 65
_symmetry_space_group_name_Hall '-C 2 2'
loop_
_atom_site_label
_atom_site_type_symbol
_atom_site_fract_x
_atom_site_fract_y
_atom_site_fract_z
_atom_site_occupancy
Sr1 Sr 0.0000 0.0000 0.0000 1
Tc1 Tc 0.0000 0.5000 0.2970 1
As1 As 0.0000 0.0000 0.5000 1
```

Properties
- DFT total energy (eV for the cell shown) = -219.65
- energy of formation (meV/atom) = 690
- DOS at the Fermi energy (states/eV/f.u.) = 3.2

No. 2
Material: TlCo2S2
Method: DFT, meta-GGA SCAN
State: single point on PBEsol structure

Structure (CIF):
```
data_TlCo2S2
_cell_length_a 4.0783
_cell_length_b 4.0783
_cell_length_c 9.9442
_cell_angle_alpha 90.00
_cell_angle_beta 90.00
_cell_angle_gamma 90.00
_symmetry_space_group_name_H-M 'I 4/m m m'
_symmetry_Int_Tables_number 139
_symmetry_space_group_name_Hall '-I 4 2'
loop_
_atom_site_label
_atom_site_type_symbol
_atom_site_fract_x
_atom_site_fract_y
_atom_site_fract_z
_atom_site_occupancy
Tl1 Tl 0.0000 0.0000 0.0000 1
Co1 Co 0.0000 0.0000 0.3332 1
S1 S 0.0000 0.5000 0.2500 1
```

Properties
- DFT total energy (eV for the cell shown) = -251.14
- distance to the lowest polymorph of the same formula (eV/atom) = 0.440
- DOS at the Fermi energy (states/eV/f.u.) = 3.1
- ΔE_f (raw) (eV per atom) = 0.13

No. 3
Material: YCo4Cu
Method: DFT, meta-GGA SCAN
State: single point on PBEsol structure

Structure (CIF):
```
data_YCo4Cu
_cell_length_a 6.7899
_cell_length_b 6.7899
_cell_length_c 6.7899
_cell_angle_alpha 90.00
_cell_angle_beta 90.00
_cell_angle_gamma 90.00
_symmetry_space_group_name_H-M 'F -4 3 m'
_symmetry_Int_Tables_number 216
_symmetry_space_group_name_Hall 'F -4 2 3'
loop_
_atom_site_label
_atom_site_type_symbol
_atom_site_fract_x
_atom_site_fract_y
_atom_site_fract_z
_atom_site_occupancy
Y1 Y 0.0000 0.0000 0.0000 1
Co1 Co 0.1239 0.1239 0.6239 1
Cu1 Cu 0.2500 0.2500 0.2500 1
```

Properties
- DFT total energy (eV for the cell shown) = -448.55
- energy of formation (meV/atom) = 20
- DOS at the Fermi energy (states/eV/f.u.) = 4.5

No. 4
Material: AlTcRu
Method: DFT, meta-GGA SCAN
State: single point on PBEsol structure

Structure (CIF):
```
data_AlTcRu
_cell_length_a 2.8675
_cell_length_b 2.8675
_cell_length_c 9.8384
_cell_angle_alpha 90.00
_cell_angle_beta 90.00
_cell_angle_gamma 90.00
_symmetry_space_group_name_H-M 'I 4 m m'
_symmetry_Int_Tables_number 107
_symmetry_space_group_name_Hall 'I 4 -2'
loop_
_atom_site_label
_atom_site_type_symbol
_atom_site_fract_x
_atom_site_fract_y
_atom_site_fract_z
_atom_site_occupancy
Al1 Al 0.0000 0.0000 0.0000 1
Tc1 Tc 0.0000 0.0000 0.3287 1
Ru1 Ru 0.0000 0.0000 0.6621 1
```

Properties
- DFT total energy (eV for the cell shown) = -158.33
- distance to the lowest polymorph of the same formula (eV/atom) = 0.000
- energy of formation (meV/atom) = -509
- DOS at the Fermi energy (states/eV/f.u.) = 1.6

No. 5
Material: RbTe2ICl
Method: DFT, meta-GGA SCAN
State: single point on PBEsol structure

Structure (CIF):
```
data_RbTe2ICl
_cell_length_a 6.9263
_cell_length_b 6.9263
_cell_length_c 6.5077
_cell_angle_alpha 90.00
_cell_angle_beta 90.00
_cell_angle_gamma 90.00
_symmetry_space_group_name_H-M 'P 4/m m m'
_symmetry_Int_Tables_number 123
_symmetry_space_group_name_Hall '-P 4 2'
loop_
_atom_site_label
_atom_site_type_symbol
_atom_site_fract_x
_atom_site_fract_y
_atom_site_fract_z
_atom_site_occupancy
Rb1 Rb 0.0000 0.0000 0.0000 1
Te1 Te 0.0000 0.5000 0.0000 1
I1 I 0.0000 0.0000 0.5000 1
Cl1 Cl 0.5000 0.5000 0.5000 1
```

Properties
- DFT total energy (eV for the cell shown) = -137.23
- DOS at the Fermi energy (states/eV/f.u.) = 9.5
- ΔE_f (raw) (eV per atom) = 0.55

No. 6
Material: ZnCrHg2
Method: DFT, meta-GGA SCAN
State: single point on PBEsol structure

Structure (CIF):
```
data_ZnCrHg2
_cell_length_a 8.9817
_cell_length_b 3.1285
_cell_length_c 5.2575
_cell_angle_alpha 90.00
_cell_angle_beta 101.59
_cell_angle_gamma 90.00
_symmetry_space_group_name_H-M 'C 1 2/m 1'
_symmetry_Int_Tables_number 12
loop_
_symmetry_equiv_pos_as_xyz
'x,y,z'
'-x,-y,-z'
'-x,y,-z'
'x,-y,z'
'x+1/2,y+1/2,z'
'-x+1/2,-y+1/2,-z'
'-x+1/2,y+1/2,-z'
'x+1/2,-y+1/2,z'
loop_
_atom_site_label
_atom_site_type_symbol
_atom_site_fract_x
_atom_site_fract_y
_atom_site_fract_z
_atom_site_occupancy
Zn1 Zn 0.0000 0.0000 0.0000 1
Cr1 Cr 0.0000 0.5000 0.5000 1
Hg1 Hg 0.2492 0.0000 0.7499 1
```

Properties
- DFT total energy (eV for the cell shown) = -335.07
- energy of formation (meV/atom) = 175
- DOS at the Fermi energy (states/eV/f.u.) = 1.8

No. 7
Material: Sr3GaBr
Method: DFT, meta-GGA SCAN
State: single point on PBEsol structure

Structure (CIF):
```
data_Sr3GaBr
_cell_length_a 6.0679
_cell_length_b 6.0679
_cell_length_c 6.0679
_cell_angle_alpha 90.00
_cell_angle_beta 90.00
_cell_angle_gamma 90.00
_symmetry_space_group_name_H-M 'P m -3 m'
_symmetry_Int_Tables_number 221
_symmetry_space_group_name_Hall '-P 4 2 3'
loop_
_atom_site_label
_atom_site_type_symbol
_atom_site_fract_x
_atom_site_fract_y
_atom_site_fract_z
_atom_site_occupancy
Sr1 Sr 0.0000 0.0000 0.5000 1
Ga1 Ga 0.0000 0.0000 0.0000 1
Br1 Br 0.5000 0.5000 0.5000 1
```

Properties
- DFT total energy (eV for the cell shown) = -105.28
- DOS at the Fermi energy (states/eV/f.u.) = 1.5
- ΔE_f (raw) (eV per atom) = -0.53

No. 8
Material: Fe2Pb3WO9
Method: DFT, meta-GGA SCAN
State: single point on PBEsol structure

Structure (CIF):
```
data_Fe2Pb3WO9
_cell_length_a 5.5145
_cell_length_b 5.5145
_cell_length_c 6.7905
_cell_angle_alpha 90.00
_cell_angle_beta 90.00
_cell_angle_gamma 120.00
_symmetry_space_group_name_H-M 'P -3 m 1'
_symmetry_Int_Tables_number 164
_symmetry_space_group_name_Hall '-P 3 2"'
loop_
_atom_site_label
_atom_site_type_symbol
_atom_site_fract_x
_atom_site_fract_y
_atom_site_fract_z
_atom_site_occupancy
Fe1 Fe 0.3333 0.6667 0.1605 1
Pb1 Pb 0.0000 0.0000 0.0000 1
Pb2 Pb 0.3333 0.6667 0.6970 1
W1 W 0.0000 0.0000 0.5000 1
O1 O 0.0000 0.5000 0.0000 1
O2 O 0.1642 0.3284 0.3345 1
```

Properties
- DFT total energy (eV for the cell shown) = -413.14
- DOS at the Fermi energy (states/eV/f.u.) = 3.5
- ΔE_f (raw) (eV per atom) = -1.58

No. 9
Material: BaMnPtAu2
Method: DFT, meta-GGA SCAN
State: single point on PBEsol structure

Structure (CIF):
```
data_BaMnPtAu2
_cell_length_a 4.9476
_cell_length_b 4.9476
_cell_length_c 4.8487
_cell_angle_alpha 90.00
_cell_angle_beta 90.00
_cell_angle_gamma 90.00
_symmetry_space_group_name_H-M 'P 4/m m m'
_symmetry_Int_Tables_number 123
_symmetry_space_group_name_Hall '-P 4 2'
loop_
_atom_site_label
_atom_site_type_symbol
_atom_site_fract_x
_atom_site_fract_y
_atom_site_fract_z
_atom_site_occupancy
Ba1 Ba 0.0000 0.0000 0.0000 1
Mn1 Mn 0.5000 0.5000 0.5000 1
Pt1 Pt 0.5000 0.5000 0.0000 1
Au1 Au 0.0000 0.5000 0.5000 1
```

Properties
- DFT total energy (eV for the cell shown) = -268.29
- energy of formation (meV/atom) = -396
- DOS at the Fermi energy (states/eV/f.u.) = 1.3

No. 10
Material: AsRh2W
Method: DFT, meta-GGA SCAN
State: single point on PBEsol structure

Structure (CIF):
```
data_AsRh2W
_cell_length_a 2.8725
_cell_length_b 4.4484
_cell_length_c 4.4805
_cell_angle_alpha 90.00
_cell_angle_beta 90.00
_cell_angle_gamma 90.00
_symmetry_space_group_name_H-M 'P m m m'
_symmetry_Int_Tables_number 47
loop_
_symmetry_equiv_pos_as_xyz
'x,y,z'
'-x,-y,-z'
'-x,-y,z'
'x,y,-z'
'x,-y,-z'
'-x,y,z'
'-x,y,-z'
'x,-y,z'
loop_
_atom_site_label
_atom_site_type_symbol
_atom_site_fract_x
_atom_site_fract_y
_atom_site_fract_z
_atom_site_occupancy
As1 As 0.0000 0.0000 0.0000 1
Rh1 Rh 0.0000 0.5000 0.5000 1
Rh2 Rh 0.5000 0.5000 0.0000 1
W1 W 0.5000 0.0000 0.5000 1
```

Properties
- DFT total energy (eV for the cell shown) = -157.23
- energy of formation (meV/atom) = 48
- DOS at the Fermi energy (states/eV/f.u.) = 2.7

No. 11
Material: HfCuPbBr2
Method: DFT, meta-GGA SCAN
State: single point on PBEsol structure

Structure (CIF):
```
data_HfCuPbBr2
_cell_length_a 4.7186
_cell_length_b 4.7186
_cell_length_c 5.5017
_cell_angle_alpha 90.00
_cell_angle_beta 90.00
_cell_angle_gamma 90.00
_symmetry_space_group_name_H-M 'P 4/m m m'
_symmetry_Int_Tables_number 123
_symmetry_space_group_name_Hall '-P 4 2'
loop_
_atom_site_label
_atom_site_type_symbol
_atom_site_fract_x
_atom_site_fract_y
_atom_site_fract_z
_atom_site_occupancy
Hf1 Hf 0.0000 0.0000 0.0000 1
Cu1 Cu 0.5000 0.5000 0.5000 1
Pb1 Pb 0.5000 0.5000 0.0000 1
Br1 Br 0.0000 0.5000 0.5000 1
```

Properties
- DFT total energy (eV for the cell shown) = -190.21
- DOS at the Fermi energy (states/eV/f.u.) = 2.5
- ΔE_f (raw) (eV per atom) = 0.47

No. 12
Material: Mg2TlTe
Method: DFT, meta-GGA SCAN
State: single point on PBEsol structure

Structure (CIF):
```
data_Mg2TlTe
_cell_length_a 4.0481
_cell_length_b 5.5298
_cell_length_c 9.0783
_cell_angle_alpha 90.00
_cell_angle_beta 90.00
_cell_angle_gamma 90.00
_symmetry_space_group_name_H-M 'I m m m'
_symmetry_Int_Tables_number 71
_symmetry_space_group_name_Hall '-I 2 2'
loop_
_atom_site_label
_atom_site_type_symbol
_atom_site_fract_x
_atom_site_fract_y
_atom_site_fract_z
_atom_site_occupancy
Mg1 Mg 0.0000 0.0000 0.2425 1
Tl1 Tl 0.0000 0.5000 0.0000 1
Te1 Te 0.0000 0.5000 0.5000 1
```

Properties
- DFT total energy (eV for the cell shown) = -240.64
- distance to the lowest polymorph of the same formula (eV/atom) = 0.076
- DOS at the Fermi energy (states/eV/f.u.) = 1.6
- ΔE_f (raw) (eV per atom) = -0.19

No. 13
Material: Cd2AgHg
Method: DFT, meta-GGA SCAN
State: single point on PBEsol structure

Structure (CIF):
```
data_Cd2AgHg
_cell_length_a 3.1067
_cell_length_b 3.1067
_cell_length_c 28.4738
_cell_angle_alpha 90.00
_cell_angle_beta 90.00
_cell_angle_gamma 120.00
_symmetry_space_group_name_H-M 'R 3 m'
_symmetry_Int_Tables_number 160
_symmetry_space_group_name_Hall 'R 3 -2"'
loop_
_atom_site_label
_atom_site_type_symbol
_atom_site_fract_x
_atom_site_fract_y
_atom_site_fract_z
_atom_site_occupancy
Cd1 Cd 0.0000 0.0000 0.0000 1
Cd2 Cd 0.0000 0.0000 0.2472 1
Ag1 Ag 0.0000 0.0000 0.5015 1
Hg1 Hg 0.0000 0.0000 0.7539 1
```

Properties
- DFT total energy (eV for the cell shown) = -480.68
- energy of formation (meV/atom) = 33
- DOS at the Fermi energy (states/eV/f.u.) = 1.3